Below is crystalline EuErRh2 at its relaxed geometry, with properties calculated at the PBE-GGA level.

POSCAR file:
```
EuErRh2
1.0
4.8770 0.0000 0.0000
2.4385 4.2236 0.0000
2.4385 1.4079 3.9821
Eu Er Rh
1 1 2
Cartesian
0.0000 0.0000 0.0000
4.8770 2.8157 1.9910
2.4385 1.4079 0.9955
7.3155 4.2236 2.9865
```

Calculated values
Excess energy over the best structure of this formula in the dataset in meV/atom: 41
Energy of formation from the pure elements in eV/atom: -0.6145
DOS(E_F) in states/eV per cell: 9.9
Final energy in eV/atom: -7.9996

***

Below is crystalline EuErRuRh at its relaxed geometry, with properties calculated at the PBE-GGA level.

POSCAR file:
```
EuErRuRh
1.0
4.8514 0.0000 0.0000
2.4257 4.2015 0.0000
2.4257 1.4005 3.9612
Eu Er Ru Rh
1 1 1 1
Cartesian
4.8514 2.8010 1.9806
0.0000 0.0000 0.0000
7.2771 4.2015 2.9709
2.4257 1.4005 0.9903
```

Calculated values
Energy of formation from the pure elements in eV/atom: -0.2948
DOS(E_F) in states/eV per cell: 8.5
Final energy in eV/atom: -8.1610

***

Below is crystalline EuEr3Ru at its relaxed geometry, with properties calculated at the PBE-GGA level.

POSCAR file:
```
EuEr3Ru
1.0
5.4029 0.0000 0.0000
0.0000 5.4029 0.0000
0.0000 0.0000 5.4029
Er Ru Eu
3 1 1
Cartesian
0.0000 0.0000 2.7015
0.0000 2.7015 0.0000
2.7015 0.0000 0.0000
0.0000 0.0000 0.0000
2.7015 2.7015 2.7015
```

Calculated values
Energy of formation from the pure elements in eV/atom: -0.1727
DOS(E_F) in states/eV per cell: 3.7
Final energy in eV/atom: -6.8204

***

Below is crystalline EuErZnRu at its relaxed geometry, with properties calculated at the PBE-GGA level.

POSCAR file:
```
EuErZnRu
1.0
4.9566 0.0000 0.0000
2.4783 4.2926 0.0000
2.4783 1.4309 4.0471
Ru Zn Eu Er
1 1 1 1
Cartesian
7.4349 4.2926 3.0353
2.4783 1.4309 1.0118
4.9566 2.8617 2.0235
0.0000 0.0000 0.0000
```

Calculated values
Energy of formation from the pure elements in eV/atom: -0.1631
DOS(E_F) in states/eV per cell: 2.9
Final energy in eV/atom: -6.5099

***

Below is crystalline EuEr2S4 at its relaxed geometry, with properties calculated at the PBE-GGA level.

POSCAR file:
```
EuEr2S4
1.0
0.4330 2.1380 6.9421
-6.3271 -3.4129 -1.1274
5.4876 -4.5476 -1.4690
Er Eu S
4 2 8
Cartesian
-1.0495 -4.1086 2.5611
-1.6548 -1.8613 -0.5769
-0.6583 -6.4179 -0.5659
-4.2106 -4.8080 -0.7965
-2.9471 -0.6375 2.9073
1.4868 -1.5235 4.1902
0.3019 -3.9034 0.2088
1.2717 -4.3718 4.1063
-0.1325 -1.2350 1.8535
-3.2790 -2.9763 1.2994
-5.3662 -2.2484 3.8777
3.4140 -3.7897 -1.1461
-1.4494 -2.0793 4.8679
3.6135 -2.6859 2.3153
```

Calculated values
Excess energy over the best structure of this formula in the dataset in meV/atom: 64
DOS(E_F) in states/eV per cell: 10.4
Uncorrected formation energy in eV/f.u.: -14.41
Final energy in eV/atom: -7.1883

***

Below is crystalline EuEr2S4 at its relaxed geometry, with properties calculated at the PBE-GGA level.

POSCAR file:
```
EuEr2S4
1.0
-1.3692 -1.7754 -3.2423
6.3269 -9.6929 2.6357
-10.9478 -5.1257 7.4300
Eu S Er
4 16 8
Cartesian
-7.8807 -7.2359 6.0921
-3.1903 -5.4094 0.7148
-2.7998 -11.1846 6.1086
1.8907 -9.3581 0.7313
4.5660 -9.6888 2.1789
3.3376 -6.7114 1.0674
-6.5837 -7.6415 3.3701
-9.3276 -9.8826 5.7560
-2.3461 -6.5974 3.4052
-5.0205 -13.2372 5.7740
0.5936 -8.9525 3.4533
-10.5561 -6.9052 4.6445
-5.6160 -9.5419 6.3984
2.0355 -12.2515 2.2546
-4.6699 -4.1329 3.0370
-0.9696 -3.3568 1.0494
-3.6439 -9.9966 3.4182
-0.3741 -7.0521 0.4250
-8.0255 -4.3425 4.5689
-1.3202 -12.4611 3.7864
-1.8163 -2.5473 -1.4327
1.0855 -11.3928 4.5818
1.2088 -5.0075 1.0334
-4.2882 -7.7726 4.8689
-4.1738 -14.0467 8.2561
-7.0756 -5.2012 2.2416
-7.1988 -11.5865 5.7901
-1.7019 -8.8213 1.9546
```

Calculated values
Excess energy over the best structure of this formula in the dataset in meV/atom: 0
DOS(E_F) in states/eV per cell: 82.3
Uncorrected formation energy in eV/f.u.: -14.86
Final energy in eV/atom: -7.2526

***

Below is crystalline EuErSb2 at its relaxed geometry, with properties calculated at the PBE-GGA level.

POSCAR file:
```
EuErSb2
1.0
-1.4700 -0.3060 -3.4231
0.7244 -3.6670 0.0167
-7.3654 -1.4399 3.2917
Eu Er Sb
1 1 2
Cartesian
-4.0555 -2.7065 -0.0573
-0.3728 -1.9865 -1.7032
-5.6518 -1.1049 2.5259
-1.7136 -0.3350 0.7658
```

Calculated values
Excess energy over the best structure of this formula in the dataset in meV/atom: 167
DOS(E_F) in states/eV per cell: 2.8
Uncorrected formation energy in eV/f.u.: -3.28
Final energy in eV/atom: -6.5912

***

Below is crystalline EuErSb2 at its relaxed geometry, with properties calculated at the PBE-GGA level.

POSCAR file:
```
EuErSb2
1.0
4.4379 0.0000 0.0000
2.2189 3.8433 0.0000
2.2189 1.2811 7.4000
Sb Er Eu
2 1 1
Cartesian
6.6568 3.8433 5.6674
2.2189 1.2811 1.7327
0.0000 0.0000 0.0000
4.4379 2.5622 3.7000
```

Calculated values
Excess energy over the best structure of this formula in the dataset in meV/atom: 0
DOS(E_F) in states/eV per cell: 11.8
Uncorrected formation energy in eV/f.u.: -3.95
Final energy in eV/atom: -6.7582

***

Q: Which formula does entry 6 have?
A: EuEr2S4